1.
## Zn2CoCu (GGA-PBEsol)

Data for Zn2CoCu after structural relaxation.

Computed properties:
Uncorrected energy, eV/atom: -3.82
SG: Cm (8)

a b c (Å): 2.5830 4.3751 4.5044
angles (deg): 101.31 106.66 90.00
Each line ends with the local moment (μB).
Positions (direct):
Zn: 0.0027 0.0186 0.0055  -0.02
Zn: 0.2449 0.7259 0.4898  -0.01
Co: 0.4982 0.5133 0.9963  0.93
Cu: 0.7542 0.2422 0.5084  0.00

2.
## Zn2CoCu (GGA-PBEsol)

Data for Zn2CoCu after structural relaxation.

Computed properties:
Uncorrected energy, eV/atom: -3.88
SG: Cmmm (65)

a b c (Å): 2.8238 4.0962 4.0962
angles (deg): 97.07 90.00 90.00
Positions (direct):
Zn: 0.0000 0.5000 0.0000
Zn: 0.0000 0.0000 0.5000
Co: 0.5000 0.0000 0.0000
Cu: 0.5000 0.5000 0.5000

3.
## ZnCoCu2 (GGA-PBEsol)

Data for ZnCoCu2 after structural relaxation.

Computed properties:
Uncorrected energy, eV/atom: -4.47
SG: P4mm (99)

a b c (Å): 2.5327 2.5327 7.1539
angles (deg): 90.00 90.00 90.00
Each line ends with the local moment (μB).
Positions (direct):
Zn: 0.0000 0.0000 0.5045  -0.03
Co: 0.5000 0.5000 0.7553  1.31
Cu: 0.0000 0.0000 0.9960  0.04
Cu: 0.5000 0.5000 0.2442  -0.02

4.
## ZnCo2Cu (GGA-PBEsol)

Data for ZnCo2Cu after structural relaxation.

Computed properties:
Uncorrected energy, eV/atom: -5.31
SG: Pmm2 (25)

a b c (Å): 2.5353 3.4467 5.1161
angles (deg): 90.00 90.00 90.00
Each line ends with the local moment (μB).
Positions (direct):
Zn: 0.0000 0.5000 0.7490  -0.03
Co: 0.5000 0.0000 0.0212  1.27
Co: 0.0000 0.5000 0.2323  1.40
Cu: 0.5000 0.0000 0.4975  0.01

5.
## ZnCoCu2 (GGA-PBEsol)

Data for ZnCoCu2 after structural relaxation.

Computed properties:
Uncorrected energy, eV/atom: -4.46
SG: C2/m (12)

a b c (Å): 2.5149 4.3833 4.4006
angles (deg): 99.53 106.60 90.00
Each line ends with the local moment (μB).
Positions (direct):
Co: 0.5000 0.0000 0.0000  1.14
Cu: 0.2477 0.2436 0.4953  0.01
Cu: 0.7523 0.7564 0.5047  0.01
Zn: 0.0000 0.5000 0.0000  -0.03

6.
## Zn2CoCu (GGA-PBEsol)

Data for Zn2CoCu after structural relaxation.

Computed properties:
Uncorrected energy, eV/atom: -3.89
SG: P4/mmm (123)

a b c (Å): 3.3691 3.7307 3.7305
angles (deg): 90.00 90.00 90.00
Positions (direct):
Zn: 0.0000 0.0000 0.1250
Zn: 0.0000 0.5000 0.6251
Co: 0.5000 0.0000 0.6250
Cu: 0.5000 0.5000 0.1250

7.
## ZrCoCu2 (GGA-PBEsol)

Data for ZrCoCu2 after structural relaxation.

Computed properties:
Uncorrected energy, eV/atom: -6.42
SG: F-43m (216)

a b c (Å): 4.2363 4.2363 4.2363
angles (deg): 60.00 60.00 60.00
Positions (direct):
Co: 0.5000 0.5000 0.5000
Cu: 0.0000 0.0000 0.0000
Cu: 0.2500 0.2500 0.2500
Zr: 0.7500 0.7500 0.7500

8.
## ZrCo2Cu (GGA-PBEsol)

Data for ZrCo2Cu after structural relaxation.

Computed properties:
Uncorrected energy, eV/atom: -7.33
SG: I-4m2 (119)

a b c (Å): 3.6432 3.6432 4.6552
angles (deg): 113.04 113.04 90.00
Each line ends with the local moment (μB).
Positions (direct):
Co: 0.0000 0.0000 0.0000  0.85
Co: 0.7500 0.2500 0.5000  0.74
Cu: 0.5000 0.5000 0.0000  0.03
Zr: 0.2500 0.7500 0.5000  -0.15

9.
## ZrCo4Cu (GGA-PBEsol)

Data for ZrCo4Cu after structural relaxation.

Computed properties:
Uncorrected energy, eV/atom: -7.56
SG: F-43m (216)

a b c (Å): 4.6939 4.6939 4.6939
angles (deg): 60.00 60.00 60.00
Each line ends with the local moment (μB).
Positions (direct):
Co: 0.3758 0.3758 0.3758  1.15
Co: 0.3758 0.3758 0.8727  1.15
Co: 0.8727 0.3758 0.3758  1.15
Co: 0.3758 0.8727 0.3758  1.15
Zr: 0.0000 0.0000 0.0000  0.01
Cu: 0.7500 0.7500 0.7500  -0.24

10.
## ZrCoCu3 (GGA-PBEsol)

Data for ZrCoCu3 after structural relaxation.

Computed properties:
Uncorrected energy, eV/atom: -5.27
SG: Pm-3m (221)

a b c (Å): 4.2788 4.2788 4.2788
angles (deg): 90.00 90.00 90.00
Each line ends with the local moment (μB).
Positions (direct):
Co: 0.0000 0.0000 0.0000  1.30
Cu: 0.0000 0.5000 0.0000  0.06
Cu: 0.0000 0.0000 0.5000  0.06
Cu: 0.5000 0.0000 0.0000  0.06
Zr: 0.5000 0.5000 0.5000  -0.02

11.
## ZrCoCu2 (GGA-PBEsol)

Data for ZrCoCu2 after structural relaxation.

Computed properties:
Uncorrected energy, eV/atom: -6.55
SG: I4/mmm (139)

a b c (Å): 3.5808 3.5808 4.8320
angles (deg): 111.75 111.75 90.00
Positions (direct):
Co: 0.5000 0.5000 0.0000
Zr: 0.0000 0.0000 0.0000
Cu: 0.7500 0.2500 0.5000
Cu: 0.2500 0.7500 0.5000

12.
## ZrCo2Cu (GGA-PBEsol)

Data for ZrCo2Cu after structural relaxation.

Computed properties:
Uncorrected energy, eV/atom: -7.19
SG: P4mm (99)

a b c (Å): 3.1879 3.1879 5.2487
angles (deg): 90.00 90.00 90.00
Each line ends with the local moment (μB).
Positions (direct):
Co: 0.0000 0.0000 0.0208  0.85
Co: 0.5000 0.5000 0.2449  1.33
Cu: 0.0000 0.0000 0.4710  -0.01
Zr: 0.5000 0.5000 0.7633  -0.16

13.
## ZrCoCu2 (GGA-PBEsol)

Data for ZrCoCu2 after structural relaxation.

Computed properties:
Uncorrected energy, eV/atom: -6.31
SG: P4/mmm (123)

a b c (Å): 3.3118 3.3118 5.0149
angles (deg): 90.00 90.00 90.00
Each line ends with the local moment (μB).
Positions (direct):
Co: 0.5000 0.5000 0.5000  0.84
Cu: 0.0000 0.0000 0.7308  -0.01
Cu: 0.0000 0.0000 0.2692  -0.01
Zr: 0.5000 0.5000 0.0000  0.03

14.
## Dy12Co7 (GGA-PBEsol)

Data for Dy12Co7 after structural relaxation.

Computed properties:
Uncorrected energy, eV/atom: -6.18
SG: P2_1/c (14)

a b c (Å): 8.1127 9.0025 11.0226
angles (deg): 90.00 90.00 102.00
Positions (direct):
Dy: 0.8374 0.3414 0.8390
Dy: 0.3030 0.1456 0.4970
Dy: 0.3374 0.8414 0.6610
Dy: 0.4230 0.1760 0.8013
Dy: 0.6459 0.4132 0.5691
Dy: 0.4289 0.6903 0.9303
Dy: 0.9289 0.1903 0.5697
Dy: 0.7750 0.5397 0.2945
Dy: 0.0770 0.3240 0.3013
Dy: 0.0711 0.8097 0.4303
Dy: 0.3541 0.5868 0.4309
Dy: 0.6970 0.8544 0.5030
Dy: 0.6626 0.1586 0.3390
Dy: 0.8030 0.6456 0.0030
Dy: 0.5711 0.3097 0.0697
Dy: 0.1459 0.9132 0.9309
Dy: 0.2750 0.0397 0.2055
Dy: 0.7250 0.9603 0.7945
Dy: 0.2250 0.4603 0.7055
Dy: 0.1970 0.3544 0.9970
Dy: 0.9230 0.6760 0.6987
Dy: 0.5770 0.8240 0.1987
Dy: 0.1626 0.6586 0.1610
Dy: 0.8541 0.0868 0.0691
Co: 0.0000 0.5000 0.5000
Co: 0.9336 0.0257 0.3209
Co: 0.9444 0.8428 0.1836
Co: 0.5664 0.4743 0.8209
Co: 0.4058 0.9011 0.4005
Co: 0.9058 0.4011 0.0995
Co: 0.0664 0.9743 0.6791
Co: 0.5942 0.0989 0.5995
Co: 0.5000 0.0000 0.0000
Co: 0.5556 0.6572 0.6836
Co: 0.4336 0.5257 0.1791
Co: 0.4444 0.3428 0.3164
Co: 0.0942 0.5989 0.9005
Co: 0.0556 0.1572 0.8164

15.
## Dy3Co (GGA-PBEsol)

Data for Dy3Co after structural relaxation.

Computed properties:
Uncorrected energy, eV/atom: -5.83
SG: Pnma (62)

a b c (Å): 6.0864 6.7919 9.2653
angles (deg): 90.00 90.00 90.00
Positions (direct):
Dy: 0.1415 0.4578 0.7500
Dy: 0.6759 0.3260 0.9327
Dy: 0.3585 0.9578 0.7500
Dy: 0.8585 0.5422 0.2500
Dy: 0.6415 0.0422 0.2500
Dy: 0.1759 0.1740 0.4327
Dy: 0.8241 0.8260 0.5673
Dy: 0.1759 0.1740 0.0673
Dy: 0.8241 0.8260 0.9327
Dy: 0.6759 0.3260 0.5673
Dy: 0.3241 0.6740 0.0673
Dy: 0.3241 0.6740 0.4327
Co: 0.5516 0.6135 0.7500
Co: 0.9484 0.1135 0.7500
Co: 0.0516 0.8865 0.2500
Co: 0.4484 0.3865 0.2500

16.
## DyCo2 (GGA-PBEsol)

Data for DyCo2 after structural relaxation.

Computed properties:
Uncorrected energy, eV/atom: -7.03
SG: Fd-3m (227)

a b c (Å): 4.9630 4.9630 4.9630
angles (deg): 60.00 60.00 60.00
Each line ends with the local moment (μB).
Positions (direct):
Co: 0.1250 0.6250 0.1250  0.95
Co: 0.1250 0.1250 0.6250  0.95
Co: 0.1250 0.1250 0.1250  0.95
Co: 0.6250 0.1250 0.1250  0.95
Dy: 0.7500 0.7500 0.7500  -0.27
Dy: 0.5000 0.5000 0.5000  -0.27

17.
## Dy4Co3 (GGA-PBEsol)

Data for Dy4Co3 after structural relaxation.

Computed properties:
Uncorrected energy, eV/atom: -6.33
SG: P-3 (147)

a b c (Å): 3.9429 11.0480 11.0480
angles (deg): 120.00 90.00 90.00
Positions (direct):
Dy: 0.2520 0.3797 0.8653
Dy: 0.2520 0.4856 0.6203
Dy: 0.2520 0.1347 0.5144
Dy: 0.7480 0.6203 0.1347
Dy: 0.7480 0.5144 0.3797
Dy: 0.7480 0.8653 0.4856
Dy: 0.2492 0.2193 0.2463
Dy: 0.2492 0.0271 0.7807
Dy: 0.2492 0.7537 0.9729
Dy: 0.7508 0.7807 0.7537
Dy: 0.7508 0.9729 0.2193
Dy: 0.7508 0.2463 0.0271
Co: 0.2461 0.6667 0.3333
Co: 0.7539 0.3333 0.6667
Co: 0.2514 0.7198 0.5624
Co: 0.2514 0.8427 0.2802
Co: 0.2514 0.4376 0.1573
Co: 0.7486 0.2802 0.4376
Co: 0.7486 0.1573 0.7198
Co: 0.7486 0.5624 0.8427
Co: 0.5000 0.0000 0.0000

18.
## Dy8Ga3Co (GGA-PBEsol)

Data for Dy8Ga3Co after structural relaxation.

Computed properties:
Uncorrected energy, eV/atom: -5.22
SG: P6_3mc (186)

a b c (Å): 6.7526 9.8651 9.8651
angles (deg): 120.00 90.00 90.00
Positions (direct):
Dy: 0.9912 0.1726 0.8274
Dy: 0.9912 0.1726 0.3452
Dy: 0.9912 0.6548 0.8274
Dy: 0.4912 0.8274 0.1726
Dy: 0.4912 0.8274 0.6548
Dy: 0.4912 0.3452 0.1726
Dy: 0.6710 0.3333 0.6667
Dy: 0.1710 0.6667 0.3333
Dy: 0.2911 0.4642 0.5358
Dy: 0.2911 0.4642 0.9284
Dy: 0.2911 0.0716 0.5358
Dy: 0.7911 0.5358 0.4642
Dy: 0.7911 0.5358 0.0716
Dy: 0.7911 0.9284 0.4642
Dy: 0.2711 0.0000 0.0000
Dy: 0.7711 0.0000 0.0000
Ga: 0.5385 0.1636 0.8364
Ga: 0.5385 0.1636 0.3272
Ga: 0.5385 0.6728 0.8364
Ga: 0.0385 0.8364 0.1636
Ga: 0.0385 0.8364 0.6728
Ga: 0.0385 0.3272 0.1636
Co: 0.0582 0.3333 0.6667
Co: 0.5582 0.6667 0.3333

19.
## DyGa5Co (GGA-PBEsol)

Data for DyGa5Co after structural relaxation.

Computed properties:
Uncorrected energy, eV/atom: -4.73
SG: P4/mmm (123)

a b c (Å): 4.1448 4.1448 6.7141
angles (deg): 90.00 90.00 90.00
Positions (direct):
Co: 0.0000 0.0000 0.5000
Ga: 0.0000 0.5000 0.3103
Ga: 0.0000 0.5000 0.6897
Ga: 0.5000 0.0000 0.3103
Ga: 0.5000 0.0000 0.6897
Ga: 0.5000 0.5000 0.0000
Dy: 0.0000 0.0000 0.0000

20.
## Dy2Ga3Co (GGA-PBEsol)

Data for Dy2Ga3Co after structural relaxation.

Computed properties:
Uncorrected energy, eV/atom: -5.22
SG: Cm (8)

a b c (Å): 4.1929 5.4673 5.5986
angles (deg): 77.63 68.01 67.45
Positions (direct):
Co: 0.1607 0.3827 0.2958
Ga: 0.8518 0.6132 0.6833
Ga: 0.8225 0.2370 0.1180
Ga: 0.1666 0.7559 0.9110
Dy: 0.5493 0.2077 0.6938
Dy: 0.4491 0.8035 0.2982

21.
## Dy4Ga16Co3 (GGA-PBEsol)

Data for Dy4Ga16Co3 after structural relaxation.

Computed properties:
Uncorrected energy, eV/atom: -4.77
SG: P4/mmm (123)

a b c (Å): 5.9214 5.9214 10.9111
angles (deg): 90.00 90.00 90.00
Positions (direct):
Dy: 0.5000 0.0000 0.8054
Dy: 0.0000 0.5000 0.8054
Dy: 0.5000 0.0000 0.1946
Dy: 0.0000 0.5000 0.1946
Ga: 0.2497 0.2497 0.6158
Ga: 0.7503 0.7503 0.6158
Ga: 0.7503 0.2497 0.6158
Ga: 0.2497 0.7503 0.6158
Ga: 0.7503 0.7503 0.3842
Ga: 0.2497 0.2497 0.3842
Ga: 0.2497 0.7503 0.3842
Ga: 0.7503 0.2497 0.3842
Ga: 0.2805 0.2805 0.0000
Ga: 0.7195 0.7195 0.0000
Ga: 0.7195 0.2805 0.0000
Ga: 0.2805 0.7195 0.0000
Ga: 0.5000 0.5000 0.8048
Ga: 0.5000 0.5000 0.1952
Ga: 0.0000 0.0000 0.7818
Ga: 0.0000 0.0000 0.2182
Co: 0.5000 0.0000 0.5000
Co: 0.0000 0.5000 0.5000
Co: 0.0000 0.0000 0.0000

22.
## DyGa6Co6 (GGA-PBEsol)

Data for DyGa6Co6 after structural relaxation.

Computed properties:
Uncorrected energy, eV/atom: -5.88
SG: Immm (71)

a b c (Å): 4.9530 6.3541 6.3541
angles (deg): 78.57 67.06 67.06
Each line ends with the local moment (μB).
Positions (direct):
Dy: 0.0000 0.0000 0.0000  -0.06
Ga: 0.6555 0.3445 0.3445  -0.02
Ga: 0.3445 0.6555 0.6555  -0.02
Ga: 0.0000 0.3408 0.6592  -0.02
Ga: 0.0000 0.6592 0.3408  -0.02
Ga: 0.3155 0.1845 0.1845  -0.01
Ga: 0.6845 0.8155 0.8155  -0.01
Co: 0.5000 0.7602 0.2398  0.56
Co: 0.5000 0.2398 0.7602  0.56
Co: 0.0000 0.5000 0.0000  0.40
Co: 0.5000 0.0000 0.5000  0.40
Co: 0.0000 0.0000 0.5000  0.40
Co: 0.5000 0.5000 0.0000  0.40

What ΔE_f values result from the calculations? In sequence: -11 -68 30 33 41 -83 -50 -103 -165 698 -180 30 62 -182 -160 -215 -168 -423 -523 -597 -574 -383 meV/atom.